! BeCr2P | Alexandria | meta-GGA SCAN | PBEsol geometry; values from VASP
&SYSTEM
  ibrav = 0, nat = 4, ntyp = 3
/
ATOMIC_SPECIES
Be 9.01 Be.upf
Cr 52.00 Cr.upf
P 30.97 P.upf
ATOMIC_POSITIONS crystal
Be 0.000 0.000 0.000
Cr 0.500 0.500 0.000
Cr 0.750 0.250 0.500
P 0.250 0.750 0.500
CELL_PARAMETERS angstrom
-1.698 1.698 3.565
1.698 -1.698 3.565
1.698 1.698 -3.565
! N(E_F)	1.96	states/eV/cell
! formation energy from the elements	-0.171	eV/atom
! V	41.13	Å³ per cell
! density	5.8	g cm⁻³